Entry 1:
Density functional theory data (PBE-GGA) for an optimized crystal structure of Li2HfNpN4.

formation energy from raw total energies = -1.104 eV/atom
N(E_F) = 2.9 states/eV per cell

a b c (Å): 5.3703 3.3645 5.6259
angles (deg): 90.00 108.48 90.00
Fractional positions:
Li 0.0000 0.0000 0.0000
Li 0.0000 0.5000 0.5000
Hf 0.5000 0.0000 0.5000
Np 0.5000 0.5000 0.0000
N 0.2859 0.0000 0.7713
N 0.2908 0.5000 0.2594
N 0.7092 0.5000 0.7406
N 0.7141 0.0000 0.2287

***

Entry 2:
Density functional theory data (PBE-GGA) for an optimized crystal structure of Li4HfNp3N8.

formation energy from raw total energies = -1.002 eV/atom
N(E_F) = 12.4 states/eV per cell

a b c (Å): 6.3938 6.3938 6.3938
angles (deg): 63.69 63.69 63.69
Fractional positions:
Li 0.0000 0.0000 0.0000
Li 0.0000 0.5000 0.5000
Li 0.5000 0.0000 0.5000
Li 0.5000 0.5000 0.0000
Hf 0.5000 0.5000 0.5000
Np 0.0000 0.0000 0.5000
Np 0.0000 0.5000 0.0000
Np 0.5000 0.0000 0.0000
N 0.2344 0.7375 0.7375
N 0.2368 0.2368 0.2368
N 0.2625 0.2625 0.7656
N 0.2625 0.7656 0.2625
N 0.7375 0.2344 0.7375
N 0.7375 0.7375 0.2344
N 0.7632 0.7632 0.7632
N 0.7656 0.2625 0.2625

***

Entry 3:
Density functional theory data (PBE-GGA) for an optimized crystal structure of LiHfNO2.

formation energy from raw total energies = -1.454 eV/atom
N(E_F) = 1.0 states/eV per cell

a b c (Å): 4.1006 4.1006 4.3143
angles (deg): 90.00 90.00 90.00
Fractional positions:
Li 0.0000 0.0000 0.0000
Hf 0.5000 0.5000 0.5000
N 0.5000 0.5000 0.0000
O 0.0000 0.5000 0.5000
O 0.5000 0.0000 0.5000

***

Entry 4:
Density functional theory data (PBE-GGA) for an optimized crystal structure of LiHfNO2.

formation energy from raw total energies = -0.873 eV/atom
N(E_F) = 2.0 states/eV per cell

a b c (Å): 3.5124 3.5124 3.5902
angles (deg): 90.00 90.00 90.00
Fractional positions:
Li 0.0000 0.0000 0.0000
Hf 0.5000 0.5000 0.5000
N 0.0000 0.0000 0.5000
O 0.0000 0.5000 0.0000
O 0.5000 0.0000 0.0000

***

Entry 5:
Density functional theory data (PBE-GGA) for an optimized crystal structure of LiHfPN3.

formation energy from raw total energies = -0.575 eV/atom
N(E_F) = 1.7 states/eV per cell

a b c (Å): 6.2670 3.3671 7.6107
angles (deg): 90.00 97.98 90.00
Fractional positions:
Li 0.1317 0.2500 0.1112
Li 0.8683 0.7500 0.8888
Hf 0.3793 0.7500 0.8494
Hf 0.6207 0.2500 0.1506
P 0.0885 0.2500 0.6165
P 0.9115 0.7500 0.3835
N 0.0981 0.2500 0.8292
N 0.1589 0.7500 0.5500
N 0.4138 0.7500 0.1228
N 0.5862 0.2500 0.8772
N 0.8411 0.2500 0.4500
N 0.9019 0.7500 0.1708

***

Entry 6:
Density functional theory data (PBE-GGA) for an optimized crystal structure of Li2HfPN4.

formation energy from raw total energies = -0.498 eV/atom
N(E_F) = 7.7 states/eV per cell

a b c (Å): 6.0462 6.0462 6.0462
angles (deg): 125.05 116.41 88.91
Fractional positions:
Li 0.0000 0.0000 0.0000
Li 0.5000 0.0000 0.0000
Li 0.5000 0.0000 0.5000
Li 0.5000 0.5000 0.5000
Hf 0.0000 0.5000 0.5000
Hf 0.5000 0.5000 0.0000
P 0.0000 0.0000 0.5000
P 0.0000 0.5000 0.0000
N 0.1937 0.2501 0.9436
N 0.1936 0.7499 0.4436
N 0.2281 0.2266 0.4985
N 0.2281 0.7296 0.0015
N 0.7719 0.2704 0.9985
N 0.7719 0.7734 0.5015
N 0.8064 0.2501 0.5564
N 0.8063 0.7499 0.0564

***

Entry 7:
Density functional theory data (PBE-GGA) for an optimized crystal structure of Li2HfPaN4.

formation energy from raw total energies = -1.123 eV/atom
N(E_F) = 5.0 states/eV per cell

a b c (Å): 5.3882 3.4081 5.8111
angles (deg): 90.00 110.39 90.00
Fractional positions:
Li 0.0000 0.0000 0.0000
Li 0.0000 0.5000 0.5000
Hf 0.5000 0.0000 0.5000
Pa 0.5000 0.5000 0.0000
N 0.2829 0.0000 0.7539
N 0.2847 0.5000 0.2669
N 0.7153 0.5000 0.7331
N 0.7171 0.0000 0.2461

***

Entry 8:
Density functional theory data (PBE-GGA) for an optimized crystal structure of LiHfPa2N4.

formation energy from raw total energies = -1.379 eV/atom
N(E_F) = 5.1 states/eV per cell

a b c (Å): 5.7192 3.4101 5.8616
angles (deg): 90.00 109.66 90.00
Fractional positions:
Li 0.0000 0.0000 0.0000
Hf 0.0000 0.5000 0.5000
Pa 0.5000 0.0000 0.5000
Pa 0.5000 0.5000 0.0000
N 0.2324 0.0000 0.7395
N 0.2562 0.5000 0.2685
N 0.7438 0.5000 0.7315
N 0.7676 0.0000 0.2605

***

Entry 9:
Density functional theory data (PBE-GGA) for an optimized crystal structure of Li3HfPa2N6.

formation energy from raw total energies = -1.182 eV/atom
N(E_F) = 9.0 states/eV per cell

a b c (Å): 5.9645 5.9645 5.4069
angles (deg): 99.93 99.93 120.61
Fractional positions:
Li 0.0000 0.0000 0.0000
Li 0.3556 0.6444 0.0000
Li 0.6444 0.3556 0.0000
Hf 0.5000 0.5000 0.5000
Pa 0.1668 0.8332 0.5000
Pa 0.8332 0.1668 0.5000
N 0.1055 0.4290 0.2874
N 0.2432 0.2432 0.7169
N 0.4290 0.1055 0.2874
N 0.5710 0.8945 0.7126
N 0.7568 0.7568 0.2831
N 0.8945 0.5710 0.7126

***

Entry 10:
Density functional theory data (PBE-GGA) for an optimized crystal structure of LiHfPa2N5.

formation energy from raw total energies = -1.340 eV/atom
N(E_F) = 1.3 states/eV per cell

a b c (Å): 6.7261 6.7261 10.2965
angles (deg): 90.00 90.00 150.95
Fractional positions:
Li 0.0172 0.9828 0.5000
Li 0.9828 0.0172 0.0000
Hf 0.3021 0.6979 0.0206
Hf 0.6979 0.3021 0.5206
Pa 0.3690 0.6310 0.3114
Pa 0.3931 0.6069 0.6931
Pa 0.6069 0.3931 0.1931
Pa 0.6310 0.3690 0.8114
N 0.0119 0.9881 0.8074
N 0.1386 0.8614 0.0443
N 0.1952 0.8048 0.3909
N 0.2138 0.7862 0.6848
N 0.4530 0.5470 0.1021
N 0.5470 0.4530 0.6021
N 0.7862 0.2138 0.1848
N 0.8048 0.1952 0.8909
N 0.8614 0.1386 0.5443
N 0.9881 0.0119 0.3074

***

Entry 11:
Density functional theory data (PBE-GGA) for an optimized crystal structure of LiHfPa4N8.

formation energy from raw total energies = -1.450 eV/atom
N(E_F) = 4.1 states/eV per cell

a b c (Å): 6.3875 6.3875 6.3875
angles (deg): 67.32 67.32 67.32
Fractional positions:
Li 0.0000 0.0000 0.0000
Hf 0.3921 0.3921 0.3921
Pa 0.0082 0.0082 0.5148
Pa 0.0082 0.5148 0.0082
Pa 0.5148 0.0082 0.0082
Pa 0.6023 0.6023 0.6023
N 0.2243 0.7806 0.7806
N 0.2513 0.2513 0.2513
N 0.3063 0.3063 0.7583
N 0.3063 0.7583 0.3063
N 0.7583 0.3063 0.3063
N 0.7650 0.7650 0.7650
N 0.7806 0.2243 0.7806
N 0.7806 0.7806 0.2243

***

Entry 12:
Density functional theory data (PBE-GGA) for an optimized crystal structure of LiHf2PaN4.

formation energy from raw total energies = -1.556 eV/atom
N(E_F) = 2.9 states/eV per cell

a b c (Å): 5.5251 3.2737 5.7634
angles (deg): 90.00 107.08 90.00
Fractional positions:
Li 0.0000 0.0000 0.0000
Hf 0.0000 0.5000 0.5000
Hf 0.5000 0.0000 0.5000
Pa 0.5000 0.5000 0.0000
N 0.2384 0.0000 0.7320
N 0.2725 0.5000 0.2731
N 0.7275 0.5000 0.7269
N 0.7616 0.0000 0.2680